Entry 1:
The following is a DFT calculation (PBE) of a geometry-optimized Pm2Ho5In structure.

Structure (POSCAR):
```
Pm2Ho5In
1.0
-5.433 -2.638 -6.005
5.477 -2.224 -3.980
-0.213 -1.208 6.765
Ho In Pm
5 1 2
direct
0.268 0.715 0.943
0.267 0.227 0.941
0.675 0.715 0.943
0.786 0.786 0.571
0.674 0.227 0.941
0.187 0.187 0.374
0.756 0.256 0.511
0.165 0.664 0.330
```

Formation enthalpy at 0 K ... -7 kJ/mol of atoms
Space group ... No. 8


Entry 2:
The following is a DFT calculation (PBE) of a geometry-optimized ReTcIr structure.

Structure (POSCAR):
```
ReTcIr
1.0
-1.992 -1.396 1.268
0.845 -0.774 -2.493
4.621 -4.035 2.819
Tc Re Ir
1 1 1
direct
0.667 0.333 0.663
0.333 0.667 0.337
0.000 0.000 0.000
```

Formation enthalpy at 0 K ... -5 kJ/mol of atoms
Space group ... No. 156


Entry 3:
The following is a DFT calculation (PBE) of a geometry-optimized PrSm2NpP4 structure.

Structure (POSCAR):
```
PrSm2NpP4
1.0
-1.975 -1.001 -3.434
0.943 -6.875 1.462
-6.095 2.191 2.866
Pr Sm P Np
1 2 4 1
direct
0.000 0.000 0.000
0.500 0.000 0.500
0.000 0.500 0.500
0.000 0.739 0.243
0.500 0.740 0.752
0.000 0.261 0.757
0.500 0.260 0.248
0.500 0.500 0.000
```

Formation enthalpy at 0 K ... -132 kJ/mol of atoms
Space group ... No. 10


Entry 4:
The following is a DFT calculation (PBE) of a geometry-optimized Sm2Ho3Tm6Sc structure.

Structure (POSCAR):
```
Sm2Ho3Tm6Sc
1.0
6.058 0.001 0.000
-3.027 5.248 0.000
-1.009 -1.748 11.435
Tm Sm Ho Sc
6 2 3 1
direct
0.248 0.248 0.750
0.414 0.083 0.250
0.752 0.752 0.250
0.917 0.586 0.750
0.586 0.917 0.750
0.083 0.414 0.250
0.333 0.667 0.000
0.667 0.333 0.000
0.500 0.500 0.500
0.166 0.834 0.500
0.834 0.166 0.500
0.000 0.000 0.000
```

Formation enthalpy at 0 K ... 3 kJ/mol of atoms
Space group ... No. 12


Entry 5:
The following is a DFT calculation (PBE) of a geometry-optimized YZnAu2Se structure.

Structure (POSCAR):
```
YZnAu2Se
1.0
-2.296 4.007 0.947
-0.438 -1.315 4.505
4.910 2.526 1.215
Se Au Zn Y
1 2 1 1
direct
0.500 0.500 0.500
0.000 0.500 0.000
0.500 0.000 0.000
0.000 0.000 0.000
0.000 0.000 0.500
```

Uncorrected formation energy ... -0.07 eV/atom
Space group ... No. 123


Entry 6:
The following is a DFT calculation (PBE) of a geometry-optimized Be3SbW structure.

Structure (POSCAR):
```
Be3SbW
1.0
4.416 0.000 0.000
0.000 4.416 0.000
0.000 0.000 4.416
W Be Sb
1 3 1
direct
0.000 0.000 0.000
0.000 0.500 0.000
0.500 0.000 0.000
0.000 0.000 0.500
0.500 0.500 0.500
```

Uncorrected formation energy ... 1.25 eV/atom
Space group ... No. 221


Entry 7:
The following is a DFT calculation (PBE) of a geometry-optimized Sr3ErSn6 structure.

Structure (POSCAR):
```
Sr3ErSn6
1.0
8.589 -0.035 -1.084
-1.225 8.502 -1.084
-0.031 -0.035 8.657
Sr Sn Er
6 12 2
direct
0.817 0.250 0.683
0.250 0.683 0.817
0.317 0.183 0.750
0.183 0.750 0.317
0.750 0.317 0.183
0.683 0.817 0.250
0.089 0.365 0.010
0.510 0.865 0.589
0.490 0.135 0.411
0.635 0.990 0.911
0.865 0.589 0.510
0.589 0.510 0.865
0.010 0.089 0.365
0.365 0.010 0.089
0.411 0.490 0.135
0.911 0.635 0.990
0.135 0.411 0.490
0.990 0.911 0.635
0.500 0.500 0.500
0.000 0.000 0.000
```

Formation enthalpy at 0 K ... -52 kJ/mol of atoms
Space group ... No. 167


Entry 8:
The following is a DFT calculation (PBE) of a geometry-optimized ThZrS4 structure.

Structure (POSCAR):
```
ThZrS4
1.0
7.137 0.000 -1.393
0.000 6.438 0.000
-1.469 0.000 7.129
S Th Zr
8 2 2
direct
0.342 0.681 0.622
0.885 0.649 0.151
0.385 0.851 0.151
0.115 0.351 0.849
0.615 0.149 0.849
0.658 0.319 0.378
0.158 0.181 0.378
0.842 0.819 0.622
0.500 0.500 0.000
0.000 0.000 0.000
0.000 0.500 0.500
0.500 0.000 0.500
```

Uncorrected formation energy ... -1.62 eV/atom
Space group ... No. 14


Entry 9:
The following is a DFT calculation (PBE) of a geometry-optimized ThAl11Fe structure.

Structure (POSCAR):
```
ThAl11Fe
1.0
4.781 -0.031 1.992
2.317 6.720 0.965
-0.027 -0.016 6.799
Al Th Fe
11 1 1
direct
0.977 0.363 0.656
0.023 0.637 0.344
0.500 0.233 0.784
0.367 0.637 0.656
0.000 0.000 0.500
0.633 0.363 0.344
0.284 0.233 0.216
0.500 0.767 0.216
0.000 0.500 0.000
0.500 0.000 0.500
0.716 0.767 0.784
0.000 0.000 0.000
0.500 0.500 0.000
```

Formation enthalpy at 0 K ... -19 kJ/mol of atoms
Space group ... No. 12


Entry 10:
The following is a DFT calculation (PBE) of a geometry-optimized IrNO2 structure.

Structure (POSCAR):
```
IrNO2
1.0
3.169 0.000 0.000
0.000 5.335 -1.217
-0.001 -0.233 7.285
N Ir O
2 2 4
direct
0.778 0.841 0.048
0.278 0.345 0.055
0.778 0.338 0.550
0.278 0.848 0.553
0.778 0.055 0.686
0.278 0.131 0.417
0.778 0.636 0.432
0.278 0.550 0.671
```

Uncorrected formation energy ... 0.91 eV/atom
Space group ... No. 11


Entry 11:
The following is a DFT calculation (PBE) of a geometry-optimized YMgAgF6 structure.

Structure (POSCAR):
```
YMgAgF6
1.0
-2.181 3.367 -3.288
-2.476 -3.903 -2.354
-7.877 1.141 6.393
F Ag Y Mg
12 2 2 2
direct
0.702 0.702 0.696
0.327 0.327 0.991
0.827 0.173 0.491
0.774 0.226 0.812
0.726 0.726 0.312
0.274 0.274 0.312
0.798 0.202 0.196
0.673 0.673 0.991
0.226 0.774 0.812
0.202 0.798 0.196
0.173 0.827 0.491
0.298 0.298 0.696
0.000 0.000 0.999
0.500 0.500 0.499
0.000 0.000 0.671
0.500 0.500 0.171
0.500 0.500 0.832
0.000 0.000 0.332
```

Uncorrected formation energy ... -3.19 eV/atom
Space group ... No. 102


Entry 12:
The following is a DFT calculation (PBE) of a geometry-optimized TiP2HS structure.

Structure (POSCAR):
```
TiP2HS
1.0
4.720 0.000 0.000
0.000 4.720 0.000
0.000 0.000 4.656
S H Ti P
1 1 1 2
direct
0.000 0.000 0.500
0.500 0.500 0.500
0.000 0.000 0.000
0.000 0.500 0.000
0.500 0.000 0.000
```

Space group ... No. 123
E ... -23.3 eV/cell


| no. | ρ (g/cm3) |
| --- | --- |
| 1 | 8.301 |
| 2 | 17.977 |
| 3 | 6.881 |
| 4 | 8.469 |
| 5 | 8.291 |
| 6 | 6.414 |
| 7 | 6.011 |
| 8 | 4.770 |
| 9 | 4.427 |
| 10 | 6.471 |
| 11 | 4.051 |
| 12 | 2.287 |